Record 1
Computed, not measured: crystalline YBHCl2 at its relaxed geometry at the GGA-PBE level of DFT.

Summary:
SG: P4/mmm (123)
Total DFT energy (no corrections) (eV per atom): -3.88

```
YBHCl2
1.0
-0.249 0.120 -4.889
-3.352 -1.768 0.128
-2.276 4.330 0.222
B Cl H Y
1 2 1 1
Cartesian
-2.939 1.341 -2.270
-1.138 2.165 0.111
-0.125 0.060 -2.445
0.000 0.000 0.000
-1.676 -0.884 0.064
```

***

Record 2
Computed, not measured: crystalline Ba2Ag3HgBi4 at its relaxed geometry at the GGA-PBE level of DFT.

Summary:
SG: P-4m2 (115)
Total DFT energy (no corrections) (eV per atom): -3.22

```
Ba2Ag3HgBi4
1.0
5.063 0.000 0.000
0.000 5.063 0.000
0.000 0.000 12.145
Bi Ag Ba Hg
4 3 2 1
Cartesian
2.531 0.000 7.738
0.000 2.531 4.407
0.000 0.000 0.000
2.531 2.531 0.000
2.531 0.000 10.566
0.000 2.531 1.579
0.000 0.000 6.073
2.531 0.000 3.073
0.000 2.531 9.072
2.531 2.531 6.073
```

***

Record 3
Computed, not measured: crystalline La2AgB2Rh5 at its relaxed geometry at the GGA-PBE level of DFT.

Summary:
SG: P4/mbm (127)
Total DFT energy (no corrections) (eV per atom): -6.81

```
La2AgB2Rh5
1.0
-1.284 -2.364 -1.860
6.623 -6.389 3.548
-6.198 -2.374 7.295
Rh La B Ag
10 4 4 2
Cartesian
-3.741 -2.369 2.718
0.458 -2.826 0.401
-4.943 -3.453 4.925
-2.396 -4.250 4.180
0.542 -4.567 2.555
4.083 -7.674 4.059
2.670 -4.376 0.844
-1.401 -6.559 6.428
1.536 -6.876 4.803
-1.317 -8.300 8.582
-2.963 -4.008 7.138
1.241 -6.861 7.863
3.387 -4.755 3.705
-0.816 -1.902 2.980
-1.342 -6.052 8.618
-3.048 -2.243 4.955
3.472 -6.520 5.889
1.766 -2.711 2.226
0.000 0.000 0.000
0.212 -4.381 5.422
```

***

Record 4
Computed, not measured: crystalline CuBr2Cl at its relaxed geometry at the GGA-PBE level of DFT.

Summary:
SG: Pm (6)
Energy relative to the elements, uncorrected (eV per formula unit): -0.10

```
CuBr2Cl
1.0
-2.971 -2.915 -0.059
1.349 -1.249 -6.132
3.901 -3.909 -3.265
Br Cl Cu
2 1 1
Cartesian
4.978 -4.891 -8.915
-0.217 -2.704 -2.293
2.609 -2.563 -4.676
2.784 -5.653 -7.668
```

***

Record 5
Computed, not measured: crystalline TlPAu3 at its relaxed geometry at the GGA-PBE level of DFT.

Summary:
SG: Pm-3m (221)
Total DFT energy (no corrections) (eV per atom): -3.47

```
TlPAu3
1.0
4.877 0.000 0.000
0.000 4.877 0.000
0.000 0.000 4.877
Au Tl P
3 1 1
Cartesian
0.000 2.439 0.000
0.000 0.000 2.439
2.439 0.000 0.000
2.439 2.439 2.439
0.000 0.000 0.000
```

***

Record 6
Computed, not measured: crystalline FeAsPS2 at its relaxed geometry at the GGA-PBE level of DFT.

Summary:
SG: P4/mmm (123)
Energy relative to the elements, uncorrected (eV per formula unit): 2.72

```
FeAsPS2
1.0
4.319 0.000 0.000
0.000 4.319 0.000
0.000 0.000 4.690
Fe S P As
1 2 1 1
Cartesian
0.000 0.000 0.000
2.159 0.000 0.000
0.000 2.159 0.000
0.000 0.000 2.345
2.159 2.159 2.345
```

***

Record 7
Computed, not measured: crystalline TlAs2WBr at its relaxed geometry at the GGA-PBE level of DFT.

Summary:
SG: P4/mmm (123)
Energy relative to the elements, uncorrected (eV per formula unit): 9.00

```
TlAs2WBr
1.0
5.292 0.000 0.000
0.000 5.292 0.000
0.000 0.000 5.442
W As Br Tl
1 2 1 1
Cartesian
2.646 2.646 2.721
2.646 0.000 0.000
0.000 2.646 0.000
0.000 0.000 2.721
0.000 0.000 0.000
```

***

Record 8
Computed, not measured: crystalline MnTcP at its relaxed geometry at the GGA-PBE level of DFT.

Summary:
SG: F-43m (216)
Total DFT energy (no corrections) (eV per atom): -8.58

```
MnTcP
1.0
0.000 2.770 2.770
2.770 0.000 2.770
2.770 2.770 0.000
Tc Mn P
1 1 1
Cartesian
0.000 0.000 0.000
2.770 2.770 2.770
1.385 1.385 1.385
```